# 1
# TbPmCuOs, relaxed, DFT PBE-GGA
data_TbPmCuOs
_cell_length_a 6.967
_cell_length_b 6.967
_cell_length_c 6.967
_cell_angle_alpha 90.00
_cell_angle_beta 90.00
_cell_angle_gamma 90.00
_space_group_name_H-M_alt 'F -4 3 m'
_space_group_IT_number 216
_space_group_name_Hall 'F -4 2 3'
loop_
_atom_site_label
_atom_site_fract_x
_atom_site_fract_y
_atom_site_fract_z
Tb1 0.000 0.000 0.000
Pm1 0.000 0.000 0.500
Cu1 0.250 0.250 0.250
Os1 0.250 0.250 0.750
# Crystal system: cubic
# Uncorrected energy, eV/cell: -101.5

# 2
# PmTmCuOs, relaxed, DFT PBE-GGA
data_PmTmCuOs
_cell_length_a 6.909
_cell_length_b 6.909
_cell_length_c 6.909
_cell_angle_alpha 90.00
_cell_angle_beta 90.00
_cell_angle_gamma 90.00
_space_group_name_H-M_alt 'F -4 3 m'
_space_group_IT_number 216
_space_group_name_Hall 'F -4 2 3'
loop_
_atom_site_label
_atom_site_fract_x
_atom_site_fract_y
_atom_site_fract_z
Pm1 0.000 0.000 0.000
Tm1 0.000 0.000 0.500
Cu1 0.250 0.250 0.750
Os1 0.250 0.250 0.250
# Crystal system: cubic
# Uncorrected energy, eV/cell: -101.4

# 3
# PmZrCuOs, relaxed, DFT PBE-GGA
data_PmZrCuOs
_cell_length_a 6.810
_cell_length_b 6.810
_cell_length_c 6.810
_cell_angle_alpha 90.00
_cell_angle_beta 90.00
_cell_angle_gamma 90.00
_space_group_name_H-M_alt 'F -4 3 m'
_space_group_IT_number 216
_space_group_name_Hall 'F -4 2 3'
loop_
_atom_site_label
_atom_site_fract_x
_atom_site_fract_y
_atom_site_fract_z
Pm1 0.000 0.000 0.000
Zr1 0.000 0.000 0.500
Cu1 0.250 0.250 0.750
Os1 0.250 0.250 0.250
# Crystal system: cubic
# Uncorrected energy, eV/cell: -116.5

# 4
# PrScCuOs, relaxed, DFT PBE-GGA
data_PrScCuOs
_cell_length_a 6.828
_cell_length_b 6.828
_cell_length_c 6.828
_cell_angle_alpha 90.00
_cell_angle_beta 90.00
_cell_angle_gamma 90.00
_space_group_name_H-M_alt 'F -4 3 m'
_space_group_IT_number 216
_space_group_name_Hall 'F -4 2 3'
loop_
_atom_site_label
_atom_site_fract_x
_atom_site_fract_y
_atom_site_fract_z
Pr1 0.000 0.000 0.000
Sc1 0.000 0.000 0.500
Cu1 0.250 0.250 0.750
Os1 0.250 0.250 0.250
# Crystal system: cubic
# Uncorrected energy, eV/cell: -107.7

# 5
# PrSmCuOs, relaxed, DFT PBE-GGA
data_PrSmCuOs
_cell_length_a 7.077
_cell_length_b 7.077
_cell_length_c 7.077
_cell_angle_alpha 90.00
_cell_angle_beta 90.00
_cell_angle_gamma 90.00
_space_group_name_H-M_alt 'F -4 3 m'
_space_group_IT_number 216
_space_group_name_Hall 'F -4 2 3'
loop_
_atom_site_label
_atom_site_fract_x
_atom_site_fract_y
_atom_site_fract_z
Pr1 0.000 0.000 0.000
Sm1 0.000 0.000 0.500
Cu1 0.250 0.250 0.250
Os1 0.250 0.250 0.750
# Crystal system: cubic
# Uncorrected energy, eV/cell: -100.6

# 6
# PrThCuOs, relaxed, DFT PBE-GGA
data_PrThCuOs
_cell_length_a 7.152
_cell_length_b 7.152
_cell_length_c 7.152
_cell_angle_alpha 90.00
_cell_angle_beta 90.00
_cell_angle_gamma 90.00
_space_group_name_H-M_alt 'F -4 3 m'
_space_group_IT_number 216
_space_group_name_Hall 'F -4 2 3'
loop_
_atom_site_label
_atom_site_fract_x
_atom_site_fract_y
_atom_site_fract_z
Pr1 0.000 0.000 0.000
Th1 0.000 0.000 0.500
Cu1 0.250 0.250 0.750
Os1 0.250 0.250 0.250
# Crystal system: cubic
# Uncorrected energy, eV/cell: -111.5

# 7
# PrTmCuOs, relaxed, DFT PBE-GGA
data_PrTmCuOs
_cell_length_a 6.963
_cell_length_b 6.963
_cell_length_c 6.963
_cell_angle_alpha 90.00
_cell_angle_beta 90.00
_cell_angle_gamma 90.00
_space_group_name_H-M_alt 'F -4 3 m'
_space_group_IT_number 216
_space_group_name_Hall 'F -4 2 3'
loop_
_atom_site_label
_atom_site_fract_x
_atom_site_fract_y
_atom_site_fract_z
Pr1 0.000 0.000 0.000
Tm1 0.000 0.000 0.500
Cu1 0.250 0.250 0.250
Os1 0.250 0.250 0.750
# Crystal system: cubic
# Uncorrected energy, eV/cell: -100.6

# 8
# PrZrCuOs, relaxed, DFT PBE-GGA
data_PrZrCuOs
_cell_length_a 6.865
_cell_length_b 6.865
_cell_length_c 6.865
_cell_angle_alpha 90.00
_cell_angle_beta 90.00
_cell_angle_gamma 90.00
_space_group_name_H-M_alt 'F -4 3 m'
_space_group_IT_number 216
_space_group_name_Hall 'F -4 2 3'
loop_
_atom_site_label
_atom_site_fract_x
_atom_site_fract_y
_atom_site_fract_z
Pr1 0.000 0.000 0.000
Zr1 0.000 0.000 0.500
Cu1 0.250 0.250 0.750
Os1 0.250 0.250 0.250
# Crystal system: cubic
# Uncorrected energy, eV/cell: -115.3

# 9
# CuOsPt2, relaxed, DFT PBE-GGA
data_CuOsPt2
_cell_length_a 4.828
_cell_length_b 2.685
_cell_length_c 4.833
_cell_angle_alpha 90.00
_cell_angle_beta 111.31
_cell_angle_gamma 90.00
_space_group_name_H-M_alt 'P 1 2/m 1'
_space_group_IT_number 10
loop_
_space_group_symop_operation_xyz
'x,y,z'
'-x,-y,-z'
'-x,y,-z'
'x,-y,z'
loop_
_atom_site_label
_atom_site_fract_x
_atom_site_fract_y
_atom_site_fract_z
Cu1 0.000 0.000 0.000
Os1 0.500 0.500 0.000
Pt1 0.000 0.500 0.500
Pt2 0.500 0.000 0.500
# Crystal system: monoclinic
# E above lowest polymorph, meV per atom: 165

# 10
# CuOsPt4, relaxed, DFT PBE-GGA
data_CuOsPt4
_cell_length_a 7.357
_cell_length_b 7.357
_cell_length_c 7.357
_cell_angle_alpha 90.00
_cell_angle_beta 90.00
_cell_angle_gamma 90.00
_space_group_name_H-M_alt 'F -4 3 m'
_space_group_IT_number 216
_space_group_name_Hall 'F -4 2 3'
loop_
_atom_site_label
_atom_site_fract_x
_atom_site_fract_y
_atom_site_fract_z
Cu1 0.000 0.000 0.000
Os1 0.250 0.250 0.250
Pt1 0.125 0.125 0.625
# Crystal system: cubic
# Uncorrected energy, eV/cell: -144.4

# 11
# CuOsPt2, relaxed, DFT PBE-GGA
data_CuOsPt2
_cell_length_a 2.735
_cell_length_b 4.654
_cell_length_c 9.238
_cell_angle_alpha 90.00
_cell_angle_beta 90.00
_cell_angle_gamma 90.00
_space_group_name_H-M_alt 'I m m 2'
_space_group_IT_number 44
loop_
_space_group_symop_operation_xyz
'x,y,z'
'-x,-y,z'
'-x,y,z'
'x,-y,z'
'x+1/2,y+1/2,z+1/2'
'-x+1/2,-y+1/2,z+1/2'
'-x+1/2,y+1/2,z+1/2'
'x+1/2,-y+1/2,z+1/2'
loop_
_atom_site_label
_atom_site_fract_x
_atom_site_fract_y
_atom_site_fract_z
Cu1 0.000 0.000 0.000
Os1 0.000 0.500 0.737
Pt1 0.000 0.000 0.488
Pt2 0.000 0.500 0.260
# Crystal system: orthorhombic
# E above lowest polymorph, meV per atom: 221

# 12
# CuOsPt2, relaxed, DFT PBE-GGA
data_CuOsPt2
_cell_length_a 3.892
_cell_length_b 3.892
_cell_length_c 7.634
_cell_angle_alpha 90.00
_cell_angle_beta 90.00
_cell_angle_gamma 90.00
_space_group_name_H-M_alt 'I -4 m 2'
_space_group_IT_number 119
_space_group_name_Hall 'I -4 -2'
loop_
_atom_site_label
_atom_site_fract_x
_atom_site_fract_y
_atom_site_fract_z
Cu1 0.000 0.000 0.000
Os1 0.000 0.500 0.750
Pt1 0.000 0.000 0.500
Pt2 0.000 0.500 0.250
# Crystal system: tetragonal
# E above lowest polymorph, meV per atom: 147